1.
PBE Cs2CdSiPd, optimized geometry; ΔE_f (raw) = 0.10 eV/atom; magnetization = 0.000 μB/f.u.; total energy = -12.73 eV for the cell shown
1.0
7.149 0.000 0.000
0.000 7.149 0.000
0.000 0.000 4.539
Cs Cd Si Pd
2 1 1 1
direct
0.000 0.500 0.000 Cs
0.500 0.000 0.000 Cs
0.000 0.000 0.500 Cd
0.500 0.500 0.000 Si
0.500 0.500 0.500 Pd


2.
PBE Ac2TiGe3Rh4, optimized geometry; magnetization = 0.000 μB/f.u.; formation energy = -843 meV per atom; total energy = -67.80 eV for the cell shown
1.0
4.280 0.000 0.000
0.000 4.280 0.000
0.000 0.000 10.784
Ac Ti Ge Rh
2 1 3 4
direct
0.000 0.500 0.247 Ac
0.500 0.000 0.753 Ac
0.000 0.000 0.500 Ti
0.000 0.500 0.877 Ge
0.500 0.000 0.123 Ge
0.500 0.500 0.500 Ge
0.000 0.000 0.000 Rh
0.000 0.500 0.635 Rh
0.500 0.000 0.365 Rh
0.500 0.500 0.000 Rh


3.
PBE PmCu3Pt, optimized geometry; magnetization = 0.000 μB/f.u.; formation energy = -12 meV per atom; total energy = -46.28 eV for the cell shown
1.0
-2.496 2.496 8.523
2.496 -2.496 8.523
2.496 2.496 -8.523
Pm Cu Pt
2 6 2
direct
0.159 0.159 0.000 Pm
0.841 0.841 0.000 Pm
0.375 0.622 0.753 Cu
0.378 0.131 0.753 Cu
0.378 0.625 0.247 Cu
0.533 0.033 0.500 Cu
0.869 0.622 0.247 Cu
0.967 0.467 0.500 Cu
0.250 0.750 0.500 Pt
0.500 0.500 0.000 Pt


4.
PBE TlZn2Ge, optimized geometry; magnetization = 0.000 μB/f.u.; formation energy = 245 meV per atom; total energy = -17.11 eV for the cell shown
1.0
-2.440 2.440 8.038
2.440 -2.440 8.038
2.440 2.440 -8.038
Tl Zn Ge
2 4 2
direct
0.000 0.000 0.000 Tl
0.750 0.250 0.500 Tl
0.219 0.625 0.094 Zn
0.375 0.469 0.594 Zn
0.531 0.125 0.906 Zn
0.875 0.781 0.406 Zn
0.250 0.750 0.500 Ge
0.500 0.500 0.000 Ge


Q: Look up the total energy of the first one.
A: -12.73 eV for the cell shown


Copy entry 4 word for word.
PBE TlZn2Ge, optimized geometry; magnetization = 0.000 μB/f.u.; formation energy = 245 meV per atom; total energy = -17.11 eV for the cell shown
1.0
-2.440 2.440 8.038
2.440 -2.440 8.038
2.440 2.440 -8.038
Tl Zn Ge
2 4 2
direct
0.000 0.000 0.000 Tl
0.750 0.250 0.500 Tl
0.219 0.625 0.094 Zn
0.375 0.469 0.594 Zn
0.531 0.125 0.906 Zn
0.875 0.781 0.406 Zn
0.250 0.750 0.500 Ge
0.500 0.500 0.000 Ge


Q: Which value of magnetization does entry 3 give?
A: 0.000 μB/f.u.


Q: What is the total energy in the fourth record?
A: -17.11 eV for the cell shown